No. 1
This record from Alexandria via LeMat-Bulk describes a relaxed structure of BaC2SeCl. The functional is PBEsol.

a b c (Å): 4.573 4.573 4.975
angles (deg): 90.00 90.00 90.00
Each line ends with the local moment (μB).
Positions (direct):
Ba  0.500  0.500  0.500  0.07
C  0.000  0.500  0.000  0.64
C  0.500  0.000  0.000  0.64
Se  0.000  0.000  0.500  0.09
Cl  0.000  0.000  0.000  -0.01

## Properties
Formation energy from raw total energies (eV per atom): 1.7617
Space-group type: P4/mmm, No. 123
Size of the total moment (Bohr magnetons per cell): 2.89
DOS(E_F) (states/eV/atom): 0.6727
Energy (eV per atom): -3.70

---

No. 2
This record from Alexandria via LeMat-Bulk describes a relaxed structure of BaCo2C. The functional is PBEsol.

a b c (Å): 5.600 5.600 5.600
angles (deg): 105.08 111.71 111.71
Positions (direct):
Co  0.223  0.348  0.625
Co  0.723  0.375  0.598
Co  0.277  0.875  0.652
Co  0.777  0.402  0.125
C  0.000  0.500  0.500
C  0.500  0.250  0.750
Ba  0.500  0.750  0.250
Ba  0.000  0.000  0.000

## Properties
Space-group type: I-42d, No. 122
ΔE_f (kJ/mol of formula units): 122
Size of the total moment (Bohr magnetons per cell): 0.00
DOS(E_F) (states/eV/atom): 0.8881
Energy (eV per atom): -6.50

---

No. 3
This record from Alexandria via LeMat-Bulk describes a relaxed structure of Ba3CoC. The functional is PBEsol.

a b c (Å): 5.428 5.428 5.428
angles (deg): 90.00 90.00 90.00
Each line ends with the local moment (μB).
Positions (direct):
Ba  0.000  0.000  0.500  -0.02
Ba  0.500  0.000  0.000  -0.02
Ba  0.000  0.500  0.000  -0.02
Co  0.000  0.000  0.000  0.07
C  0.500  0.500  0.500  0.49

## Properties
Space-group type: Pm-3m, No. 221
ΔE_f (kJ/mol of formula units): 595
Size of the total moment (Bohr magnetons per cell): 1.05
DOS(E_F) (states/eV/atom): 0.8784
Energy (eV per atom): -3.53

---

No. 4
This record from Alexandria via LeMat-Bulk describes a relaxed structure of Ba2CoC2O6F2. The functional is PBEsol.

a b c (Å): 6.591 8.953 11.460
angles (deg): 90.00 90.00 90.00
Each line ends with the local moment (μB).
Positions (direct):
C  0.750  0.760  0.914  0.01
C  0.750  0.760  0.414  0.01
C  0.250  0.740  0.914  0.01
C  0.250  0.240  0.086  0.01
C  0.250  0.240  0.586  0.01
C  0.750  0.260  0.086  0.01
C  0.250  0.740  0.414  0.01
C  0.750  0.260  0.586  0.01
Ba  0.991  0.391  0.824  0.00
Ba  0.491  0.609  0.676  0.00
Ba  0.509  0.391  0.324  0.00
Ba  0.009  0.109  0.324  0.00
Ba  0.009  0.609  0.176  0.00
Ba  0.491  0.109  0.824  0.00
Ba  0.991  0.891  0.676  0.00
Ba  0.509  0.891  0.176  0.00
O  0.669  0.197  0.496  0.05
O  0.312  0.315  0.675  0.01
O  0.688  0.185  0.175  0.01
O  0.769  0.906  0.913  0.06
O  0.331  0.803  0.504  0.05
O  0.169  0.303  0.496  0.05
O  0.169  0.803  0.004  0.05
O  0.312  0.815  0.825  0.01
O  0.188  0.815  0.325  0.01
O  0.812  0.685  0.825  0.01
O  0.831  0.197  0.996  0.05
O  0.188  0.315  0.175  0.01
O  0.812  0.185  0.675  0.01
O  0.231  0.094  0.087  0.06
O  0.669  0.697  0.004  0.05
O  0.688  0.685  0.325  0.01
O  0.831  0.697  0.504  0.05
O  0.731  0.406  0.087  0.06
O  0.269  0.594  0.913  0.06
O  0.269  0.094  0.587  0.06
O  0.769  0.406  0.587  0.06
O  0.731  0.906  0.413  0.06
O  0.331  0.303  0.996  0.05
O  0.231  0.594  0.413  0.06
Co  0.000  0.000  0.000  2.58
Co  0.500  0.000  0.500  2.58
Co  0.500  0.500  0.000  2.58
Co  0.000  0.500  0.500  2.58
F  0.097  0.093  0.843  0.04
F  0.097  0.593  0.657  0.04
F  0.597  0.407  0.843  0.04
F  0.403  0.093  0.343  0.04
F  0.403  0.593  0.157  0.04
F  0.597  0.907  0.657  0.04
F  0.903  0.407  0.343  0.04
F  0.903  0.907  0.157  0.04

## Properties
Formation energy from raw total energies (eV per atom): -2.1716
Space-group type: Pbca, No. 61
Size of the total moment (Bohr magnetons per cell): 12.00
DOS(E_F) (states/eV/atom): 0.1149
Energy (eV per atom): -7.30

---

No. 5
This record from Alexandria via LeMat-Bulk describes a relaxed structure of Ba3CoC3N3. The functional is PBEsol.

a b c (Å): 5.734 9.027 9.027
angles (deg): 120.00 90.00 90.00
Positions (direct):
Ba  0.250  0.621  0.932
Ba  0.750  0.689  0.621
Ba  0.250  0.068  0.689
Ba  0.750  0.379  0.068
Ba  0.250  0.311  0.379
Ba  0.750  0.932  0.311
Co  0.750  0.333  0.667
Co  0.250  0.667  0.333
C  0.250  0.461  0.155
C  0.750  0.539  0.845
C  0.250  0.695  0.539
C  0.750  0.305  0.461
C  0.750  0.155  0.695
C  0.250  0.845  0.305
N  0.250  0.971  0.284
N  0.750  0.686  0.971
N  0.750  0.284  0.314
N  0.750  0.029  0.716
N  0.250  0.716  0.686
N  0.250  0.314  0.029

## Properties
Formation energy from raw total energies (eV per atom): -0.6356
Space-group type: P6_3/m, No. 176
Size of the total moment (Bohr magnetons per cell): 0.00
Energy (eV per atom): -7.51

---

No. 6
This record from Alexandria via LeMat-Bulk describes a relaxed structure of BaLiCr2C. The functional is PBEsol.

a b c (Å): 4.735 5.926 5.926
angles (deg): 90.00 90.00 90.00
Each line ends with the local moment (μB).
Positions (direct):
C  0.500  0.000  0.000  -0.43
Cr  0.000  0.500  0.000  4.29
Cr  0.000  0.000  0.500  4.29
Ba  0.000  0.000  0.000  0.17
Li  0.500  0.500  0.500  0.00

## Properties
Space-group type: P4/mmm, No. 123
ΔE_f (kJ/mol of formula units): 1207
Size of the total moment (Bohr magnetons per cell): 9.65
DOS(E_F) (states/eV/atom): 0.6670
Energy (eV per atom): -4.35

---

No. 7
This record from Alexandria via LeMat-Bulk describes a relaxed structure of Cs2Ba2C3O9. The functional is PBEsol.

a b c (Å): 8.923 8.923 8.923
angles (deg): 109.47 109.47 109.47
Positions (direct):
C  0.750  0.590  0.840
C  0.910  0.160  0.750
C  0.340  0.750  0.090
C  0.160  0.250  0.410
C  0.590  0.340  0.250
C  0.250  0.910  0.660
Cs  0.878  0.878  0.378
Cs  0.622  0.000  0.000
Cs  0.000  0.500  0.122
Cs  0.500  0.622  0.500
O  0.201  0.122  0.365
O  0.378  0.080  0.744
O  0.750  0.716  0.966
O  0.299  0.664  0.920
O  0.664  0.420  0.799
O  0.784  0.034  0.750
O  0.250  0.784  0.534
O  0.716  0.466  0.250
O  0.256  0.836  0.135
O  0.034  0.250  0.284
O  0.080  0.244  0.878
O  0.466  0.750  0.216
O  0.244  0.378  0.580
O  0.635  0.256  0.336
O  0.420  0.299  0.164
O  0.836  0.635  0.756
O  0.865  0.201  0.622
O  0.122  0.865  0.701
Ba  0.500  0.079  0.500
Ba  0.079  0.000  0.000
Ba  0.000  0.500  0.579
Ba  0.421  0.421  0.921

## Properties
Formation energy from raw total energies (eV per atom): -2.0850
Space-group type: I2_13, No. 199
Size of the total moment (Bohr magnetons per cell): 0.00
DOS(E_F) (states/eV/atom): 0.0000
Energy (eV per atom): -7.23

---

No. 8
This record from Alexandria via LeMat-Bulk describes a relaxed structure of BaCuCO3F2. The functional is PBEsol.

a b c (Å): 4.884 8.498 9.486
angles (deg): 90.00 90.00 90.00
Each line ends with the local moment (μB).
Positions (direct):
O  0.290  0.441  0.250  0.03
O  0.947  0.885  0.750  0.08
O  0.710  0.941  0.250  0.03
O  0.947  0.615  0.250  0.08
O  0.710  0.559  0.750  0.03
O  0.053  0.385  0.750  0.08
O  0.618  0.302  0.750  0.09
O  0.290  0.059  0.750  0.03
O  0.053  0.115  0.250  0.08
O  0.382  0.802  0.750  0.09
O  0.618  0.198  0.250  0.09
O  0.382  0.698  0.250  0.09
F  0.240  0.914  0.047  0.07
F  0.760  0.414  0.453  0.07
F  0.240  0.586  0.547  0.07
F  0.760  0.414  0.047  0.07
F  0.760  0.086  0.953  0.07
F  0.760  0.086  0.547  0.07
F  0.240  0.914  0.453  0.07
F  0.240  0.586  0.953  0.07
Ba  0.273  0.250  0.500  0.00
Ba  0.727  0.750  0.500  0.00
Ba  0.727  0.750  0.000  0.00
Ba  0.273  0.250  0.000  0.00
Cu  0.247  0.913  0.250  0.65
Cu  0.247  0.587  0.750  0.65
Cu  0.753  0.413  0.250  0.65
Cu  0.753  0.087  0.750  0.65
C  0.208  0.917  0.750  -0.01
C  0.208  0.583  0.250  -0.01
C  0.792  0.083  0.250  -0.01
C  0.792  0.417  0.750  -0.01

## Properties
Formation energy from raw total energies (eV per atom): -2.0883
Space-group type: Pbcm, No. 57
Size of the total moment (Bohr magnetons per cell): 4.05
Energy (eV per atom): -6.55